# 1
Compound: Mg2PW
Source: the Alexandria database
Functional: PBEsol
Structure: relaxed

The structure belongs to space group P4mm (No. 99); the cell edges are 3.132, 3.132 and 7.135 Å and the angles 90.00°, 90.00° and 90.00°. The distinct sites, in fractional coordinates, are Mg at (0.000, 0.000, 0.000), Mg at (0.500, 0.500, 0.330), P at (0.000, 0.000, 0.584) and W at (0.500, 0.500, 0.731).

The crystal system is tetragonal. The uncorrected energy comes out at -5.85 eV per atom.



# 2
Compound: LaY2Sc
Source: the Alexandria database
Functional: PBEsol
Structure: relaxed

The structure belongs to space group I-4m2 (No. 119); the cell edges are 4.976, 4.976 and 9.581 Å and the angles 90.00°, 90.00° and 90.00°. The distinct sites, in fractional coordinates, are La at (0.000, 0.000, 0.000), Y at (0.000, 0.000, 0.500), Y at (0.000, 0.500, 0.750) and Sc at (0.000, 0.500, 0.250).

The crystal system is tetragonal. The uncorrected energy comes out at -6.34 eV per atom. For the relative energy among the computed polymorphs, the calculation gives 15.9 meV/atom.



Let's list size of the total moment in order: 0.00 0.00 Bohr magnetons per cell.
Let's list theoretical density in order: 6.2 5.1 Mg/m³.